1.
3
Lattice="4.959 0.000 0.000 2.479 4.294 0.000 2.479 1.431 4.049" Properties=species:S:1:pos:R:3 comment="CaPuSi, relaxed, DFT PBE" magmom_total_mub_per_atom=2.003 dft_energy_ev_per_atom=-7.376 e_form_raw_kcal_per_mol_atoms=-2.86 relative_energy_kj_per_mol_atoms=0.0 density_kg_m3=6012 pbc="T T T"
Ca 4.959 2.863 2.024
Si 2.479 1.431 1.012
Pu 0.000 0.000 0.000

---

2.
24
Lattice="7.619 0.000 0.000 0.000 10.033 0.000 0.000 0.000 10.794" Properties=species:S:1:pos:R:3 comment="KAu, relaxed, DFT PBE" formation_energy_ev_per_atom=-0.2601 magmom_total_mub_per_atom=0.000 dft_energy_ev_per_atom=-2.447 density_kg_m3=5701 pbc="T T T"
Au 1.905 1.566 1.584
Au 5.714 8.467 9.210
Au 1.905 6.582 9.210
Au 5.714 3.451 1.584
Au 1.905 5.474 4.628
Au 5.714 4.559 6.166
Au 1.905 0.458 6.166
Au 5.714 9.575 4.628
Au 0.000 7.525 0.373
Au 3.809 2.508 10.421
Au 0.000 2.508 10.421
Au 3.809 7.525 0.373
K 1.905 4.837 1.203
K 5.714 5.196 9.591
K 1.905 9.853 9.591
K 5.714 0.180 1.203
K 1.905 8.652 2.965
K 5.714 1.381 7.829
K 1.905 3.635 7.829
K 5.714 6.398 2.965
K 0.000 7.525 6.681
K 3.809 2.508 4.113
K 0.000 2.508 4.113
K 3.809 7.525 6.681

---

3.
4
Lattice="-0.024 -2.815 -1.391 -1.855 -1.739 3.549 -6.476 1.390 -2.704" Properties=species:S:1:pos:R:3 comment="CdAgSb2, relaxed, DFT PBE" magmom_total_mub_per_atom=0.000 dft_energy_ev_per_atom=-2.877 e_form_raw_kcal_per_mol_atoms=2.89 relative_energy_kj_per_mol_atoms=4.5 density_kg_m3=7853 pbc="T T T"
Sb -6.193 1.330 -2.586
Sb -2.914 -1.853 0.255
Ag -3.298 0.708 -1.377
Cd -5.664 -1.262 -0.894

---

4.
4
Lattice="3.516 0.000 0.000 0.000 3.516 0.000 0.000 0.000 7.515" Properties=species:S:1:pos:R:3 comment="LiNdHg2, relaxed, DFT PBE" formation_energy_ev_per_atom=-0.3894 magmom_total_mub_per_atom=0.054 dft_energy_ev_per_atom=-2.211 relative_energy_kj_per_mol_atoms=6.3 density_kg_m3=9872 pbc="T T T"
Nd 1.758 1.758 3.758
Hg 0.000 0.000 5.949
Hg 0.000 0.000 1.566
Li 1.758 1.758 0.000